No. 1
The following is a DFT calculation (GGA-PBE) of crystalline Zn3Cu3Au at its relaxed geometry.

Unit cell a=6.200 b=6.200 c=7.243 alpha=64.66 beta=64.66 gamma=60.00
Element x y z (fractional)
Zn1 0.206 0.710 0.192
Zn2 0.892 0.206 0.192
Zn3 0.710 0.892 0.192
Zn4 0.290 0.108 0.808
Zn5 0.108 0.794 0.808
Zn6 0.794 0.290 0.808
Cu1 0.578 0.757 0.598
Cu2 0.757 0.066 0.598
Cu3 0.066 0.578 0.598
Cu4 0.934 0.422 0.402
Cu5 0.243 0.934 0.402
Cu6 0.422 0.243 0.402
Au1 0.320 0.320 0.039
Au2 0.680 0.680 0.961

## Properties
- space group = No. 148
- calculated volume (A^3/atom) = 14.974
- calculated formation energy (eV per atom) = 0.010
- total magnetization (μB/f.u.) = 0.000
- mass density (g/cm3) = 9.25
- electronic total energy (eV/f.u.) = -19.3
- polymorph energy (0 for the lowest one) (meV/atom) = 104

***

No. 2
The following is a DFT calculation (GGA-PBE) of crystalline Zn5CuAu at its relaxed geometry.

Unit cell a=6.612 b=6.612 c=8.161 alpha=51.89 beta=51.89 gamma=61.70
Element x y z (fractional)
Zn1 0.803 0.786 0.955
Zn2 0.001 0.500 0.745
Zn3 0.786 0.803 0.455
Zn4 0.696 0.304 0.250
Zn5 0.500 0.999 0.755
Zn6 0.500 0.001 0.245
Zn7 0.304 0.696 0.750
Zn8 0.214 0.197 0.545
Zn9 0.999 0.500 0.255
Zn10 0.197 0.214 0.045
Cu1 0.000 0.000 0.000
Cu2 0.000 0.000 0.500
Au1 0.310 0.690 0.250
Au2 0.690 0.310 0.750

## Properties
- space group = No. 74
- calculated volume (A^3/atom) = 15.601
- calculated formation energy (eV per atom) = -0.086
- total magnetization (μB/f.u.) = 0.000
- mass density (g/cm3) = 8.93
- electronic total energy (eV/f.u.) = -14.3

***

No. 3
The following is a DFT calculation (GGA-PBE) of crystalline Zn2CuAu8 at its relaxed geometry.

Unit cell a=4.247 b=6.576 c=7.419 alpha=108.59 beta=106.63 gamma=90.00
Element x y z (fractional)
Zn1 0.779 0.354 0.558
Zn2 0.221 0.646 0.442
Cu1 0.500 0.000 0.000
Au1 0.401 0.551 0.801
Au2 0.677 0.923 0.354
Au3 0.856 0.800 0.712
Au4 0.956 0.268 0.911
Au5 0.144 0.200 0.288
Au6 0.323 0.077 0.646
Au7 0.599 0.449 0.199
Au8 0.044 0.732 0.089

## Properties
- space group = No. 12
- calculated volume (A^3/atom) = 17.022
- calculated formation energy (eV per atom) = -0.089
- total magnetization (μB/f.u.) = 0.000
- mass density (g/cm3) = 15.70
- electronic total energy (eV/f.u.) = -33.8

***

No. 4
The following is a DFT calculation (GGA-PBE) of crystalline Zn2Cu7Au at its relaxed geometry.

Unit cell a=4.002 b=7.145 c=7.145 alpha=124.68 beta=90.00 gamma=90.00
Element x y z (fractional)
Zn1 0.500 0.698 0.302
Zn2 0.500 0.302 0.698
Cu1 0.000 0.802 0.198
Cu2 0.000 0.198 0.802
Cu3 0.500 0.076 0.289
Cu4 0.500 0.924 0.711
Cu5 0.500 0.289 0.076
Cu6 0.500 0.711 0.924
Cu7 0.500 0.500 0.500
Au1 0.000 0.000 0.000

## Properties
- space group = No. 65
- calculated volume (A^3/atom) = 16.800
- calculated formation energy (eV per atom) = 0.329
- total magnetization (μB/f.u.) = 0.000
- mass density (g/cm3) = 7.64
- electronic total energy (eV/f.u.) = -31.2

***

No. 5
The following is a DFT calculation (GGA-PBE) of crystalline Zn2Cu2Au7 at its relaxed geometry.

Unit cell a=4.303 b=7.083 c=7.322 alpha=118.93 beta=107.09 gamma=90.00
Element x y z (fractional)
Zn1 0.299 0.922 0.598
Zn2 0.701 0.324 0.402
Cu1 0.000 0.624 0.000
Cu2 0.500 0.326 0.000
Au1 0.152 0.057 0.303
Au2 0.137 0.467 0.275
Au3 0.500 0.950 0.000
Au4 0.357 0.476 0.715
Au5 0.643 0.761 0.285
Au6 0.848 0.754 0.697
Au7 0.863 0.192 0.725

## Properties
- space group = No. 44
- calculated volume (A^3/atom) = 16.723
- calculated formation energy (eV per atom) = -0.079
- total magnetization (μB/f.u.) = 0.000
- mass density (g/cm3) = 14.77
- electronic total energy (eV/f.u.) = -34.5
- polymorph energy (0 for the lowest one) (meV/atom) = 0

***

No. 6
The following is a DFT calculation (GGA-PBE) of crystalline Zn2Cu3Au4 at its relaxed geometry.

Unit cell a=3.869 b=6.282 c=6.291 alpha=107.36 beta=107.91 gamma=90.00
Element x y z (fractional)
Zn1 0.338 0.003 0.676
Zn2 0.662 0.997 0.324
Cu1 0.891 0.333 0.782
Cu2 0.109 0.667 0.218
Cu3 0.000 0.000 0.000
Au1 0.547 0.319 0.095
Au2 0.773 0.688 0.546
Au3 0.453 0.681 0.905
Au4 0.227 0.312 0.454

## Properties
- space group = No. 12
- calculated volume (A^3/atom) = 15.348
- calculated formation energy (eV per atom) = -0.103
- total magnetization (μB/f.u.) = 0.000
- mass density (g/cm3) = 13.34
- electronic total energy (eV/f.u.) = -28.9
- polymorph energy (0 for the lowest one) (meV/atom) = 16

***

No. 7
The following is a DFT calculation (GGA-PBE) of crystalline Zn2Cu4Au at its relaxed geometry.

Unit cell a=4.151 b=6.988 c=6.988 alpha=90.00 beta=90.00 gamma=90.00
Element x y z (fractional)
Zn1 0.000 0.188 0.812
Zn2 0.000 0.812 0.188
Zn3 0.500 0.688 0.688
Zn4 0.500 0.312 0.312
Cu1 0.000 0.136 0.399
Cu2 0.000 0.864 0.601
Cu3 0.500 0.101 0.636
Cu4 0.500 0.899 0.364
Cu5 0.500 0.364 0.899
Cu6 0.500 0.636 0.101
Cu7 0.000 0.399 0.136
Cu8 0.000 0.601 0.864
Au1 0.500 0.000 0.000
Au2 0.000 0.500 0.500

## Properties
- space group = No. 136
- calculated volume (A^3/atom) = 14.480
- calculated formation energy (eV per atom) = -0.013
- total magnetization (μB/f.u.) = 0.000
- mass density (g/cm3) = 9.53
- electronic total energy (eV/f.u.) = -22.3
- polymorph energy (0 for the lowest one) (meV/atom) = 0

***

No. 8
The following is a DFT calculation (GGA-PBE) of crystalline Zn2Cu2Au5 at its relaxed geometry.

Unit cell a=5.532 b=7.378 c=7.374 alpha=145.60 beta=61.96 gamma=118.04
Element x y z (fractional)
Zn1 0.316 0.627 0.373
Zn2 0.684 0.373 0.627
Cu1 0.147 0.210 0.790
Cu2 0.853 0.790 0.210
Au1 0.390 0.836 0.164
Au2 0.610 0.164 0.836
Au3 0.203 0.413 0.587
Au4 0.797 0.587 0.413
Au5 0.000 0.000 0.000

## Properties
- space group = No. 12
- calculated volume (A^3/atom) = 16.445
- calculated formation energy (eV per atom) = -0.103
- total magnetization (μB/f.u.) = 0.000
- mass density (g/cm3) = 13.94
- electronic total energy (eV/f.u.) = -28.1
- polymorph energy (0 for the lowest one) (meV/atom) = 0